[1]
# DyMgTl2

DyMgTl2 after structural relaxation (PBE-GGA, Alexandria).

Unit cell a=4.473 b=4.760 c=4.760 alpha=90.00 beta=90.00 gamma=90.00
Fractional positions:
Dy (0.500, 0.000, 0.000)
Tl (0.000, 0.000, 0.500)
Tl (0.000, 0.500, 0.000)
Mg (0.500, 0.500, 0.500)

Calculated values
- energy relative to the elements (kJ per mole of atoms) = -25
- density of states at the Fermi level (states/eV per cell) = 2.12
- energy relative to the lowest polymorph listed for this composition (eV/atom) = 0.000
- M_tot (μB per formula unit) = 0.00
- space group = P4/mmm

---

[2]
# DyMgTl2

DyMgTl2 after structural relaxation (PBE-GGA, Alexandria).

Unit cell a=5.265 b=5.265 c=5.265 alpha=60.00 beta=60.00 gamma=60.00
Fractional positions:
Tl (0.250, 0.250, 0.250)
Tl (0.750, 0.750, 0.750)
Dy (0.500, 0.500, 0.500)
Mg (0.000, 0.000, 0.000)

Calculated values
- energy relative to the elements (kJ per mole of atoms) = -20
- density of states at the Fermi level (states/eV per cell) = 1.67
- energy relative to the lowest polymorph listed for this composition (eV/atom) = 0.054
- M_tot (μB per formula unit) = 0.00
- space group = Fm-3m

---

[3]
# Dy6Mg5Tl

Dy6Mg5Tl after structural relaxation (PBE-GGA, Alexandria).

Unit cell a=5.348 b=7.558 c=8.487 alpha=90.00 beta=71.64 gamma=90.00
Fractional positions:
Mg (0.329, 0.000, 0.342)
Dy (0.833, 0.253, 0.334)
Mg (0.667, 0.500, 0.666)
Dy (0.167, 0.747, 0.666)
Dy (0.500, 0.251, 0.000)
Tl (0.000, 0.000, 0.000)
Mg (0.000, 0.500, 0.000)
Mg (0.671, 0.000, 0.658)
Dy (0.833, 0.747, 0.334)
Dy (0.500, 0.749, 0.000)
Mg (0.333, 0.500, 0.334)
Dy (0.167, 0.253, 0.666)

Calculated values
- energy relative to the elements (kJ per mole of atoms) = -13
- density of states at the Fermi level (states/eV per cell) = 14.45
- M_tot (μB per formula unit) = 0.00
- space group = Cmmm

---

[4]
# Dy4MgTl2

Dy4MgTl2 after structural relaxation (PBE-GGA, Alexandria).

Unit cell a=5.270 b=5.270 c=8.963 alpha=72.90 beta=72.90 gamma=60.00
Fractional positions:
Tl (0.255, 0.255, 0.234)
Dy (0.131, 0.131, 0.607)
Mg (0.000, 0.000, 0.000)
Tl (0.745, 0.745, 0.766)
Dy (0.615, 0.615, 0.154)
Dy (0.385, 0.385, 0.846)
Dy (0.869, 0.869, 0.393)

Calculated values
- energy relative to the elements (kJ per mole of atoms) = -16
- density of states at the Fermi level (states/eV per cell) = 6.27
- energy relative to the lowest polymorph listed for this composition (eV/atom) = 0.000
- M_tot (μB per formula unit) = 0.00
- space group = R-3m

---

[5]
# Dy6MgTl2

Dy6MgTl2 after structural relaxation (PBE-GGA, Alexandria).

Unit cell a=5.142 b=7.403 c=8.996 alpha=114.30 beta=106.64 gamma=90.00
Fractional positions:
Dy (0.500, 0.750, 0.000)
Dy (0.500, 0.250, 0.000)
Tl (0.667, 0.668, 0.335)
Dy (0.165, 0.917, 0.331)
Dy (0.835, 0.586, 0.669)
Dy (0.165, 0.414, 0.331)
Dy (0.835, 0.083, 0.669)
Tl (0.333, 0.332, 0.665)
Mg (0.000, 0.000, 0.000)

Calculated values
- energy relative to the elements (kJ per mole of atoms) = 12
- density of states at the Fermi level (states/eV per cell) = 13.90
- M_tot (μB per formula unit) = 0.00
- space group = Immm

---

[6]
# Dy3MgTl2

Dy3MgTl2 after structural relaxation (PBE-GGA, Alexandria).

Unit cell a=3.770 b=3.770 c=11.432 alpha=90.00 beta=90.00 gamma=90.00
Fractional positions:
Dy (0.000, 0.000, 0.000)
Tl (0.500, 0.500, 0.175)
Tl (0.500, 0.500, 0.825)
Mg (0.500, 0.500, 0.500)
Dy (0.000, 0.000, 0.660)
Dy (0.000, 0.000, 0.340)

Calculated values
- energy relative to the elements (kJ per mole of atoms) = -26
- density of states at the Fermi level (states/eV per cell) = 5.38
- energy relative to the lowest polymorph listed for this composition (eV/atom) = 0.011
- M_tot (μB per formula unit) = 0.00
- space group = P4/mmm